(a)
4
Lattice="5.2403 0.0000 0.0000 0.0000 3.6817 0.0000 -2.6078 0.0000 6.5928" Properties=species:S:1:pos:R:3 comment="InCoBr2 (PBE, relaxed)" spacegroup="No. 10" pbc="T T T"
In 0.0000 0.0000 0.0000
Co 2.6201 0.0000 0.0000
Br 0.0037 1.8408 4.8724
Br 2.6287 1.8408 1.7204

---

(b)
8
Lattice="3.5945 0.0000 0.0000 0.0000 6.9350 0.0000 0.0000 0.0000 9.1473" Properties=species:S:1:pos:R:3 comment="InCoBr2 (PBE, relaxed)" spacegroup="No. 65" pbc="T T T"
In 0.0000 0.0000 0.0000
In 1.7972 3.4675 0.0000
Co 0.0000 0.0000 4.5736
Co 1.7972 3.4675 4.5736
Br 0.0000 3.4675 2.8840
Br 0.0000 3.4675 6.2632
Br 1.7972 0.0000 2.8840
Br 1.7972 0.0000 6.2632

---

(c)
8
Lattice="3.5363 0.0000 0.0000 0.0000 5.3066 0.0000 0.0000 0.0000 12.6472" Properties=species:S:1:pos:R:3 comment="InCoBr2 (PBE, relaxed)" spacegroup="No. 71" pbc="T T T"
In 0.0000 0.0000 0.0000
In 1.7682 2.6533 6.3236
Co 0.0000 0.0000 6.3236
Co 1.7682 2.6533 0.0000
Br 0.0000 2.6533 1.7944
Br 0.0000 2.6533 10.8528
Br 1.7682 0.0000 4.5292
Br 1.7682 0.0000 8.1179

---

(d)
4
Lattice="3.3867 0.0000 0.0000 0.0000 3.3867 0.0000 0.0000 0.0000 8.6894" Properties=species:S:1:pos:R:3 comment="InCoBr2 (PBE, relaxed)" spacegroup="No. 99" pbc="T T T"
In 0.0000 0.0000 0.0000
Co 1.6934 1.6934 6.5944
Br 0.0000 0.0000 5.3965
Br 1.6934 1.6934 1.8494

---

It is (a) that is the most stable of them.

---

(a)
8
Lattice="3.4967 0.0000 0.0000 0.0000 7.1587 0.0000 0.0000 0.0000 9.3194" Properties=species:S:1:pos:R:3 comment="InCoBr2 (PBE, relaxed)" spacegroup="No. 44" pbc="T T T"
In 0.0000 0.0000 0.0000
In 1.7484 3.5793 4.6597
Co 0.0000 3.5793 2.5853
Co 1.7484 0.0000 7.2450
Br 0.0000 0.0000 5.5659
Br 0.0000 3.5793 6.8543
Br 1.7484 0.0000 2.1946
Br 1.7484 3.5793 0.9062

---

(b)
4
Lattice="3.5949 0.0000 0.0000 0.0000 3.5949 0.0000 0.0000 0.0000 8.7371" Properties=species:S:1:pos:R:3 comment="InCoBr2 (PBE, relaxed)" spacegroup="No. 99" pbc="T T T"
In 0.0000 0.0000 0.0000
Co 1.7975 1.7975 4.4087
Br 0.0000 0.0000 3.7407
Br 1.7975 1.7975 6.8203

---

(c)
8
Lattice="7.7977 0.0000 0.0000 0.0000 7.9916 0.0000 -1.2878 0.0000 3.4701" Properties=species:S:1:pos:R:3 comment="InCoBr2 (PBE, relaxed)" spacegroup="No. 12" pbc="T T T"
In 0.0000 0.0000 0.0000
In 3.8989 3.9958 0.0000
Co 0.0000 3.9958 0.0000
Co 3.8989 0.0000 0.0000
Br 1.3055 1.9979 1.7351
Br 1.3055 5.9937 1.7351
Br 5.2044 1.9979 1.7351
Br 5.2044 5.9937 1.7351

---

It is (b) that is the most stable of them.

---

(a)
8
Lattice="10.1287 0.0000 0.0000 0.0000 3.5790 0.0000 -2.8080 0.0000 6.7432" Properties=species:S:1:pos:R:3 comment="InCoBr2 (PBE, relaxed)" spacegroup="No. 8" pbc="T T T"
In 0.0000 0.0000 0.0000
In 5.0643 1.7895 0.0000
Co -0.0617 0.0000 6.7419
Co 5.0026 1.7895 6.7419
Br -0.1354 1.7895 4.9521
Br 2.6739 1.7895 1.7903
Br 4.9289 0.0000 4.9521
Br 7.7382 0.0000 1.7903

---

(b)
4
Lattice="5.2947 0.0000 0.0000 0.0000 5.2947 0.0000 0.0000 0.0000 3.5908" Properties=species:S:1:pos:R:3 comment="InCoBr2 (PBE, relaxed)" spacegroup="No. 123" pbc="T T T"
In 0.0000 0.0000 0.0000
Co 2.6473 2.6473 0.0000
Br 0.0000 2.6473 1.7954
Br 2.6473 0.0000 1.7954

---

(c)
4
Lattice="3.3266 0.0000 0.0000 0.0000 3.3266 0.0000 0.0000 0.0000 8.8478" Properties=species:S:1:pos:R:3 comment="InCoBr2 (PBE, relaxed)" spacegroup="No. 123" pbc="T T T"
In 0.0000 0.0000 0.0000
Co 0.0000 0.0000 4.4239
Br 1.6633 1.6633 2.8302
Br 1.6633 1.6633 6.0176

---

(d)
12
Lattice="3.6584 0.0000 0.0000 -1.8292 3.1683 0.0000 0.0000 0.0000 27.9590" Properties=species:S:1:pos:R:3 comment="InCoBr2 (PBE, relaxed)" spacegroup="No. 166" pbc="T T T"
In 0.0000 0.0000 0.0000
In 0.0000 2.1122 18.6394
In 1.8292 1.0561 9.3197
Co 0.0000 0.0000 13.9795
Co 0.0000 2.1122 4.6598
Co 1.8292 1.0561 23.2992
Br 0.0000 0.0000 3.1912
Br 0.0000 0.0000 24.7678
Br 0.0000 2.1122 15.4481
Br 0.0000 2.1122 21.8306
Br 1.8292 1.0561 6.1284
Br 1.8292 1.0561 12.5109

---

It is (a) that is the most stable of them.

---

(a)
8
Lattice="4.1346 0.0000 0.0000 0.0000 4.1346 0.0000 0.0000 0.0000 12.9835" Properties=species:S:1:pos:R:3 comment="InCoBr2 (PBE, relaxed)" spacegroup="No. 119" pbc="T T T"
In 0.0000 0.0000 0.0000
In 2.0673 2.0673 6.4918
Co 0.0000 2.0673 3.2459
Co 2.0673 0.0000 9.7376
Br 0.0000 0.0000 6.4918
Br 0.0000 2.0673 9.7376
Br 2.0673 0.0000 3.2459
Br 2.0673 2.0673 0.0000

---

(b)
4
Lattice="4.3420 0.0000 0.0000 0.0000 3.5294 0.0000 -2.1311 0.0000 7.4448" Properties=species:S:1:pos:R:3 comment="InCoBr2 (PBE, relaxed)" spacegroup="No. 6" pbc="T T T"
In 0.0000 0.0000 0.0000
Co 2.1713 1.7647 0.5920
Br 0.0347 1.7647 5.6460
Br 2.1689 0.0000 2.3411

---

It is (b) that is the most stable of them.

---

(a)
16
Lattice="7.3416 0.0000 0.0000 0.0000 7.3416 0.0000 0.0000 0.0000 7.3416" Properties=species:S:1:pos:R:3 comment="InCoBr2 (PBE, relaxed)" spacegroup="No. 225" pbc="T T T"
In 0.0000 0.0000 0.0000
In 0.0000 3.6708 3.6708
In 3.6708 0.0000 3.6708
In 3.6708 3.6708 0.0000
Co 0.0000 0.0000 3.6708
Co 0.0000 3.6708 0.0000
Co 3.6708 0.0000 0.0000
Co 3.6708 3.6708 3.6708
Br 1.8354 1.8354 1.8354
Br 1.8354 1.8354 5.5062
Br 1.8354 5.5062 1.8354
Br 1.8354 5.5062 5.5062
Br 5.5062 1.8354 1.8354
Br 5.5062 1.8354 5.5062
Br 5.5062 5.5062 1.8354
Br 5.5062 5.5062 5.5062

---

(b)
12
Lattice="3.6896 0.0000 0.0000 -1.8448 3.1953 0.0000 0.0000 0.0000 25.9639" Properties=species:S:1:pos:R:3 comment="InCoBr2 (PBE, relaxed)" spacegroup="No. 166" pbc="T T T"
In 0.0000 0.0000 0.0000
In 0.0000 2.1302 17.3092
In 1.8448 1.0651 8.6546
Co 0.0000 0.0000 12.9819
Co 0.0000 2.1302 4.3273
Co 1.8448 1.0651 21.6365
Br 0.0000 0.0000 5.7903
Br 0.0000 0.0000 20.1736
Br 0.0000 2.1302 11.5190
Br 0.0000 2.1302 23.0995
Br 1.8448 1.0651 2.8643
Br 1.8448 1.0651 14.4449

---

It is (b) that is the most stable of them.

---

(a)
16
Lattice="7.4071 0.0000 0.0000 0.0000 7.4071 0.0000 0.0000 0.0000 7.4071" Properties=species:S:1:pos:R:3 comment="InCoBr2 (PBE, relaxed)" spacegroup="No. 216" pbc="T T T"
In 0.0000 0.0000 0.0000
In 0.0000 3.7036 3.7036
In 3.7036 0.0000 3.7036
In 3.7036 3.7036 0.0000
Co 1.8518 1.8518 1.8518
Co 1.8518 5.5554 5.5554
Co 5.5554 1.8518 5.5554
Co 5.5554 5.5554 1.8518
Br 0.0000 0.0000 3.7036
Br 0.0000 3.7036 0.0000
Br 1.8518 1.8518 5.5554
Br 1.8518 5.5554 1.8518
Br 3.7036 0.0000 0.0000
Br 3.7036 3.7036 3.7036
Br 5.5554 1.8518 1.8518
Br 5.5554 5.5554 5.5554

---

(b)
8
Lattice="3.6379 0.0000 0.0000 0.0000 6.6132 0.0000 0.0000 0.0000 9.4223" Properties=species:S:1:pos:R:3 comment="InCoBr2 (PBE, relaxed)" spacegroup="No. 35" pbc="T T T"
In 0.0000 0.0000 0.0000
In 1.8190 3.3066 0.0000
Co 0.0000 3.3066 2.0428
Co 1.8190 0.0000 2.0428
Br 0.0000 0.0000 3.6016
Br 0.0000 3.3066 7.3463
Br 1.8190 0.0000 7.3463
Br 1.8190 3.3066 3.6016

---

(c)
16
Lattice="7.9387 0.0000 0.0000 0.0000 7.9387 0.0000 0.0000 0.0000 6.8267" Properties=species:S:1:pos:R:3 comment="InCoBr2 (PBE, relaxed)" spacegroup="No. 122" pbc="T T T"
In 0.0000 0.0000 0.0000
In 0.0000 3.9694 1.7067
In 3.9694 0.0000 5.1200
In 3.9694 3.9694 3.4134
Co 0.0000 0.0000 3.4134
Co 0.0000 3.9694 5.1200
Co 3.9694 0.0000 1.7067
Co 3.9694 3.9694 0.0000
Br 1.1352 1.9847 4.2667
Br 1.9847 5.1046 5.9734
Br 1.9847 6.8035 2.5600
Br 2.8342 1.9847 0.8533
Br 5.1046 5.9540 0.8533
Br 5.9540 1.1352 2.5600
Br 5.9540 2.8342 5.9734
Br 6.8035 5.9540 4.2667

---

It is (c) that is the most stable of them.

---

(a)
5
Lattice="4.3895 0.0000 0.0000 0.0000 4.3895 0.0000 0.0000 0.0000 4.3895" Properties=species:S:1:pos:R:3 comment="InCo3Br (PBE, relaxed)" spacegroup="No. 221" pbc="T T T"
In 0.0000 0.0000 0.0000
Co 0.0000 2.1948 2.1948
Co 2.1948 0.0000 2.1948
Co 2.1948 2.1948 0.0000
Br 2.1948 2.1948 2.1948

---

(b)
5
Lattice="4.8617 0.0000 0.0000 0.0000 4.8617 0.0000 0.0000 0.0000 4.8617" Properties=species:S:1:pos:R:3 comment="InCo3Br (PBE, relaxed)" spacegroup="No. 221" pbc="T T T"
In 0.0000 0.0000 0.0000
Co 0.0000 0.0000 2.4309
Co 0.0000 2.4309 0.0000
Co 2.4309 0.0000 0.0000
Br 2.4309 2.4309 2.4309

---

It is (a) that is the most stable of them.

---

(a)
5
Lattice="5.1536 0.0000 0.0000 0.0000 5.1536 0.0000 0.0000 0.0000 5.0493" Properties=species:S:1:pos:R:3 comment="Tl2InCoBr (PBE, relaxed)" spacegroup="No. 123" pbc="T T T"
Tl 0.0000 2.5768 0.0000
Tl 2.5768 0.0000 0.0000
In 0.0000 0.0000 2.5247
Co 0.0000 0.0000 0.0000
Br 2.5768 2.5768 2.5247

---

(b)
5
Lattice="5.8456 0.0000 0.0000 0.0000 5.8456 0.0000 0.0000 0.0000 5.5784" Properties=species:S:1:pos:R:3 comment="Tl2InCoBr (PBE, relaxed)" spacegroup="No. 123" pbc="T T T"
Tl 0.0000 2.9228 0.0000
Tl 2.9228 0.0000 0.0000
In 0.0000 0.0000 0.0000
Co 2.9228 2.9228 2.7892
Br 0.0000 0.0000 2.7892

---

It is (a) that is the most stable of them.

---

(a)
8
Lattice="3.0871 0.0000 0.0000 0.0000 6.0551 0.0000 0.0000 0.0000 8.1920" Properties=species:S:1:pos:R:3 comment="CoIrBr2 (PBE, relaxed)" spacegroup="No. 71" pbc="T T T"
Co 0.0000 0.0000 0.0000
Co 1.5435 3.0276 4.0960
Ir 0.0000 0.0000 4.0960
Ir 1.5435 3.0276 0.0000
Br 0.0000 3.0276 2.0900
Br 0.0000 3.0276 6.1020
Br 1.5435 0.0000 2.0060
Br 1.5435 0.0000 6.1860

---

(b)
8
Lattice="3.1493 0.0000 0.0000 0.0000 3.9459 0.0000 0.0000 0.0000 15.0552" Properties=species:S:1:pos:R:3 comment="CoIrBr2 (PBE, relaxed)" spacegroup="No. 44" pbc="T T T"
Co 0.0000 0.0000 0.0000
Co 1.5746 1.9729 7.5276
Ir 0.0000 1.9729 9.5427
Ir 1.5746 0.0000 2.0151
Br 0.0000 0.0000 6.5544
Br 0.0000 1.9729 2.6536
Br 1.5746 0.0000 10.1812
Br 1.5746 1.9729 14.0820

---

It is (b) that is the most stable of them.

---

(a)
4
Lattice="3.0402 0.0000 0.0000 0.0000 3.0402 0.0000 0.0000 0.0000 8.9456" Properties=species:S:1:pos:R:3 comment="CoIrBr2 (PBE, relaxed)" spacegroup="No. 99" pbc="T T T"
Co 0.0000 0.0000 0.0000
Ir 1.5201 1.5201 1.4942
Br 0.0000 0.0000 3.3867
Br 1.5201 1.5201 7.1956

---

(b)
16
Lattice="5.7143 0.0000 0.0000 0.0000 5.7143 0.0000 0.0000 0.0000 10.9145" Properties=species:S:1:pos:R:3 comment="CoIrBr2 (PBE, relaxed)" spacegroup="No. 122" pbc="T T T"
Co 0.0000 0.0000 0.0000
Co 0.0000 2.8572 2.7286
Co 2.8572 0.0000 8.1858
Co 2.8572 2.8572 5.4572
Ir 0.0000 0.0000 5.4572
Ir 0.0000 2.8572 8.1858
Ir 2.8572 0.0000 2.7286
Ir 2.8572 2.8572 0.0000
Br 1.3324 1.4286 1.3643
Br 1.4286 4.1895 4.0929
Br 1.4286 4.3820 9.5502
Br 1.5248 1.4286 6.8215
Br 4.1895 4.2858 6.8215
Br 4.2858 1.3324 9.5502
Br 4.2858 1.5248 4.0929
Br 4.3820 4.2858 1.3643

---

It is (a) that is the most stable of them.

---

(a)
4
Lattice="4.4997 0.0000 0.0000 0.0000 4.4997 0.0000 0.0000 0.0000 2.8583" Properties=species:S:1:pos:R:3 comment="Co2IrBr (PBE, relaxed)" spacegroup="No. 123" pbc="T T T"
Co 0.0000 2.2498 0.0000
Co 2.2498 0.0000 0.0000
Ir 0.0000 0.0000 1.4292
Br 2.2498 2.2498 1.4292

---

(b)
4
Lattice="2.9176 0.0000 0.0000 0.0000 4.3783 0.0000 0.0000 0.0000 4.5212" Properties=species:S:1:pos:R:3 comment="Co2IrBr (PBE, relaxed)" spacegroup="No. 47" pbc="T T T"
Co 0.0000 0.0000 0.0000
Co 1.4588 0.0000 2.2606
Ir 0.0000 2.1892 2.2606
Br 1.4588 2.1892 0.0000

---

It is (a) that is the most stable of them.